Version A
Co3PSe | PBE | relaxed

**Mass density**: 6.6 g cm⁻³
**SG**: No. 221
**Density of states at the Fermi level**: 0.903 states/eV per atom

```
data_Co3PSe
_space_group_name_H-M_alt 'P 1'
_space_group_IT_number 1
_cell_length_a 4.173
_cell_length_b 4.173
_cell_length_c 4.173
_cell_angle_alpha 90.00
_cell_angle_beta 90.00
_cell_angle_gamma 90.00
loop_
_space_group_symop_operation_xyz
'x,y,z'
loop_
_atom_site_label
_atom_site_fract_x
_atom_site_fract_y
_atom_site_fract_z
Co1 0.000 0.000 0.500
Co2 0.000 0.500 0.000
Co3 0.500 0.000 0.000
P1 0.000 0.000 0.000
Se1 0.500 0.500 0.500
```


Version B
Co3PSe | PBE | relaxed

**Mass density**: 6.0 g cm⁻³
**SG**: No. 221
**Density of states at the Fermi level**: 0.975 states/eV per atom

```
data_Co3PSe
_space_group_name_H-M_alt 'P 1'
_space_group_IT_number 1
_cell_length_a 4.308
_cell_length_b 4.308
_cell_length_c 4.308
_cell_angle_alpha 90.00
_cell_angle_beta 90.00
_cell_angle_gamma 90.00
loop_
_space_group_symop_operation_xyz
'x,y,z'
loop_
_atom_site_label
_atom_site_fract_x
_atom_site_fract_y
_atom_site_fract_z
Co1 0.000 0.000 0.500
Co2 0.000 0.500 0.000
Co3 0.500 0.000 0.000
P1 0.500 0.500 0.500
Se1 0.000 0.000 0.000
```


Sorted by energy, starting with the most stable: version A, version B.


Version A
Co2PSe2 | PBE | relaxed

**Mass density**: 7.0 g cm⁻³
**SG**: No. 127
**Density of states at the Fermi level**: 1.206 states/eV per atom

```
data_Co2PSe2
_space_group_name_H-M_alt 'P 1'
_space_group_IT_number 1
_cell_length_a 6.843
_cell_length_b 6.843
_cell_length_c 3.100
_cell_angle_alpha 90.00
_cell_angle_beta 90.00
_cell_angle_gamma 90.00
loop_
_space_group_symop_operation_xyz
'x,y,z'
loop_
_atom_site_label
_atom_site_fract_x
_atom_site_fract_y
_atom_site_fract_z
Co1 0.132 0.368 0.000
Co2 0.368 0.868 0.000
Co3 0.632 0.132 0.000
Co4 0.868 0.632 0.000
P1 0.000 0.000 0.000
P2 0.500 0.500 0.000
Se1 0.152 0.652 0.500
Se2 0.348 0.152 0.500
Se3 0.652 0.848 0.500
Se4 0.848 0.348 0.500
```


Version B
Co2PSe2 | PBE | relaxed

**Mass density**: 6.4 g cm⁻³
**SG**: No. 139
**Density of states at the Fermi level**: 1.125 states/eV per atom

```
data_Co2PSe2
_space_group_name_H-M_alt 'P 1'
_space_group_IT_number 1
_cell_length_a 5.835
_cell_length_b 5.835
_cell_length_c 5.835
_cell_angle_alpha 140.69
_cell_angle_beta 140.69
_cell_angle_gamma 56.81
loop_
_space_group_symop_operation_xyz
'x,y,z'
loop_
_atom_site_label
_atom_site_fract_x
_atom_site_fract_y
_atom_site_fract_z
Co1 0.115 0.115 0.000
Co2 0.885 0.885 0.000
P1 0.500 0.500 0.000
Se1 0.250 0.750 0.500
Se2 0.750 0.250 0.500
```


Sorted by energy, starting with the most stable: version A, version B.


Version A
CoSi3P | PBE | relaxed

**Mass density**: 3.6 g cm⁻³
**SG**: No. 221
**Density of states at the Fermi level**: 0.173 states/eV per atom

```
data_CoSi3P
_space_group_name_H-M_alt 'P 1'
_space_group_IT_number 1
_cell_length_a 4.323
_cell_length_b 4.323
_cell_length_c 4.323
_cell_angle_alpha 90.00
_cell_angle_beta 90.00
_cell_angle_gamma 90.00
loop_
_space_group_symop_operation_xyz
'x,y,z'
loop_
_atom_site_label
_atom_site_fract_x
_atom_site_fract_y
_atom_site_fract_z
Co1 0.000 0.000 0.000
Si1 0.000 0.000 0.500
Si2 0.000 0.500 0.000
Si3 0.500 0.000 0.000
P1 0.500 0.500 0.500
```


Version B
CoSi3P | PBE | relaxed

**Mass density**: 3.3 g cm⁻³
**SG**: No. 221
**Density of states at the Fermi level**: 1.510 states/eV per atom

```
data_CoSi3P
_space_group_name_H-M_alt 'P 1'
_space_group_IT_number 1
_cell_length_a 4.426
_cell_length_b 4.426
_cell_length_c 4.426
_cell_angle_alpha 90.00
_cell_angle_beta 90.00
_cell_angle_gamma 90.00
loop_
_space_group_symop_operation_xyz
'x,y,z'
loop_
_atom_site_label
_atom_site_fract_x
_atom_site_fract_y
_atom_site_fract_z
Co1 0.000 0.000 0.000
Si1 0.000 0.500 0.500
Si2 0.500 0.000 0.500
Si3 0.500 0.500 0.000
P1 0.500 0.500 0.500
```


Sorted by energy, starting with the most stable: version A, version B.


Version A
Co3SnP | PBE | relaxed

**Mass density**: 7.5 g cm⁻³
**SG**: No. 221
**Density of states at the Fermi level**: 0.539 states/eV per atom

```
data_Co3SnP
_space_group_name_H-M_alt 'P 1'
_space_group_IT_number 1
_cell_length_a 4.163
_cell_length_b 4.163
_cell_length_c 4.163
_cell_angle_alpha 90.00
_cell_angle_beta 90.00
_cell_angle_gamma 90.00
loop_
_space_group_symop_operation_xyz
'x,y,z'
loop_
_atom_site_label
_atom_site_fract_x
_atom_site_fract_y
_atom_site_fract_z
Co1 0.000 0.000 0.500
Co2 0.000 0.500 0.000
Co3 0.500 0.000 0.000
Sn1 0.500 0.500 0.500
P1 0.000 0.000 0.000
```


Version B
Co3SnP | PBE | relaxed

**Mass density**: 5.4 g cm⁻³
**SG**: No. 221
**Density of states at the Fermi level**: 1.460 states/eV per atom

```
data_Co3SnP
_space_group_name_H-M_alt 'P 1'
_space_group_IT_number 1
_cell_length_a 4.638
_cell_length_b 4.638
_cell_length_c 4.638
_cell_angle_alpha 90.00
_cell_angle_beta 90.00
_cell_angle_gamma 90.00
loop_
_space_group_symop_operation_xyz
'x,y,z'
loop_
_atom_site_label
_atom_site_fract_x
_atom_site_fract_y
_atom_site_fract_z
Co1 0.000 0.000 0.500
Co2 0.000 0.500 0.000
Co3 0.500 0.000 0.000
Sn1 0.000 0.000 0.000
P1 0.500 0.500 0.500
```


Sorted by energy, starting with the most stable: version A, version B.